Record 1
This record from Alexandria via LeMat-Bulk describes a relaxed structure of KCrSe2. The functional is PBE-GGA.

a b c (Å): 5.9011 5.9011 11.6761
angles (deg): 90.00 90.00 90.00
Fractional coordinates of all 16 atoms:
1 K 0.0000 0.2500 0.3750
2 K 0.0000 0.7500 0.6250
3 K 0.5000 0.2500 0.1250
4 K 0.5000 0.7500 0.8750
5 Cr 0.0000 0.2500 0.8750
6 Cr 0.0000 0.7500 0.1250
7 Cr 0.5000 0.2500 0.6250
8 Cr 0.5000 0.7500 0.3750
9 Se 0.0000 0.2500 0.0837
10 Se 0.0000 0.2500 0.6663
11 Se 0.0000 0.7500 0.3337
12 Se 0.0000 0.7500 0.9163
13 Se 0.5000 0.2500 0.4163
14 Se 0.5000 0.2500 0.8337
15 Se 0.5000 0.7500 0.1663
16 Se 0.5000 0.7500 0.5837

Output
Symmetry: No. 141
Raw formation energy: -2.0 eV per formula unit

***

Record 2
This record from Alexandria via LeMat-Bulk describes a relaxed structure of Mn2SbIr2. The functional is PBE-GGA.

a b c (Å): 7.3555 7.3555 2.7685
angles (deg): 90.00 90.00 90.00
Fractional coordinates of all 10 atoms:
1 Mn 0.1644 0.3356 0.0000
2 Mn 0.3356 0.8356 0.0000
3 Mn 0.6644 0.1644 0.0000
4 Mn 0.8356 0.6644 0.0000
5 Sb 0.0000 0.0000 0.5000
6 Sb 0.5000 0.5000 0.5000
7 Ir 0.1296 0.6296 0.5000
8 Ir 0.3704 0.1296 0.5000
9 Ir 0.6296 0.8704 0.5000
10 Ir 0.8704 0.3704 0.5000

Output
Symmetry: No. 127
Raw formation energy: 1.4 eV per formula unit

***

Record 3
This record from Alexandria via LeMat-Bulk describes a relaxed structure of Er3Tm6Sc2. The functional is PBE-GGA.

a b c (Å): 16.1132 16.1132 16.1132
angles (deg): 163.43 163.43 23.52
Fractional coordinates of all 11 atoms:
1 Er 0.0000 0.0000 0.0000
2 Er 0.1991 0.1991 0.0000
3 Er 0.8009 0.8009 0.0000
4 Tm 0.1167 0.6167 0.5000
5 Tm 0.3067 0.3067 0.0000
6 Tm 0.3833 0.8833 0.5000
7 Tm 0.6167 0.1167 0.5000
8 Tm 0.6933 0.6933 0.0000
9 Tm 0.8833 0.3833 0.5000
10 Sc 0.4561 0.4561 0.0000
11 Sc 0.5439 0.5439 0.0000

Output
Symmetry: No. 139
DFT formation energy: 0.307 eV per atom

***

Record 4
This record from Alexandria via LeMat-Bulk describes a relaxed structure of AcMg5Ni2. The functional is PBE-GGA.

a b c (Å): 4.1843 8.1975 10.0493
angles (deg): 90.00 90.00 90.00
Fractional coordinates of all 16 atoms:
1 Ac 0.0000 0.0000 0.0000
2 Ac 0.5000 0.5000 0.5000
3 Mg 0.0000 0.1832 0.3359
4 Mg 0.0000 0.1832 0.6641
5 Mg 0.0000 0.5000 0.0000
6 Mg 0.0000 0.8168 0.3359
7 Mg 0.0000 0.8168 0.6641
8 Mg 0.5000 0.0000 0.5000
9 Mg 0.5000 0.3168 0.1641
10 Mg 0.5000 0.3168 0.8359
11 Mg 0.5000 0.6832 0.1641
12 Mg 0.5000 0.6832 0.8359
13 Ni 0.0000 0.5000 0.2642
14 Ni 0.0000 0.5000 0.7358
15 Ni 0.5000 0.0000 0.2358
16 Ni 0.5000 0.0000 0.7642

Output
Symmetry: No. 71
DFT formation energy: -0.165 eV per atom

***

Record 5
This record from Alexandria via LeMat-Bulk describes a relaxed structure of Hf2TaCu. The functional is PBE-GGA.

a b c (Å): 6.6513 6.6513 6.6513
angles (deg): 90.00 90.00 90.00
Fractional coordinates of all 16 atoms:
1 Hf 0.2500 0.2500 0.2500
2 Hf 0.2500 0.2500 0.7500
3 Hf 0.2500 0.7500 0.2500
4 Hf 0.2500 0.7500 0.7500
5 Hf 0.7500 0.2500 0.2500
6 Hf 0.7500 0.2500 0.7500
7 Hf 0.7500 0.7500 0.2500
8 Hf 0.7500 0.7500 0.7500
9 Ta 0.0000 0.0000 0.0000
10 Ta 0.0000 0.5000 0.5000
11 Ta 0.5000 0.0000 0.5000
12 Ta 0.5000 0.5000 0.0000
13 Cu 0.0000 0.0000 0.5000
14 Cu 0.0000 0.5000 0.0000
15 Cu 0.5000 0.0000 0.0000
16 Cu 0.5000 0.5000 0.5000

Output
Symmetry: No. 225
DFT formation energy: 0.096 eV per atom

***

Record 6
This record from Alexandria via LeMat-Bulk describes a relaxed structure of CsCu2Sb2. The functional is PBE-GGA.

a b c (Å): 9.0794 9.0794 3.3012
angles (deg): 90.00 90.00 90.00
Fractional coordinates of all 10 atoms:
1 Cs 0.0000 0.0000 0.0000
2 Cs 0.5000 0.5000 0.0000
3 Cu 0.0970 0.4030 0.0000
4 Cu 0.4030 0.9030 0.0000
5 Cu 0.5970 0.0970 0.0000
6 Cu 0.9030 0.5970 0.0000
7 Sb 0.1427 0.6427 0.5000
8 Sb 0.3573 0.1427 0.5000
9 Sb 0.6427 0.8573 0.5000
10 Sb 0.8573 0.3573 0.5000

Output
Symmetry: No. 127
Raw formation energy: 0.7 eV per formula unit

***

Record 7
This record from Alexandria via LeMat-Bulk describes a relaxed structure of CaB3O10. The functional is PBE-GGA.

a b c (Å): 6.3074 8.2811 8.5986
angles (deg): 76.16 80.33 71.11
Fractional coordinates of all 28 atoms:
1 Ca 0.0999 0.2752 0.1182
2 Ca 0.9001 0.7248 0.8818
3 B 0.1925 0.3298 0.7735
4 B 0.2387 0.2196 0.5312
5 B 0.2969 0.0024 0.7946
6 B 0.7031 0.9976 0.2054
7 B 0.7613 0.7804 0.4688
8 B 0.8075 0.6702 0.2265
9 O 0.0363 0.9452 0.5570
10 O 0.1353 0.4565 0.8582
11 O 0.1678 0.8831 0.8626
12 O 0.1890 0.2470 0.3776
13 O 0.2119 0.3574 0.6060
14 O 0.2268 0.1588 0.8655
15 O 0.2992 0.6778 0.2914
16 O 0.3030 0.0498 0.6177
17 O 0.3603 0.5650 0.2095
18 O 0.4894 0.1161 0.1542
19 O 0.5106 0.8839 0.8458
20 O 0.6397 0.4350 0.7905
21 O 0.6970 0.9502 0.3823
22 O 0.7008 0.3222 0.7086
23 O 0.7732 0.8412 0.1345
24 O 0.7881 0.6426 0.3940
25 O 0.8110 0.7530 0.6224
26 O 0.8322 0.1169 0.1374
27 O 0.8647 0.5435 0.1418
28 O 0.9637 0.0548 0.4430

Output
Symmetry: No. 2
Raw formation energy: -21.1 eV per formula unit

***

Record 8
This record from Alexandria via LeMat-Bulk describes a relaxed structure of BaAgTeI2. The functional is PBE-GGA.

a b c (Å): 6.6609 6.6609 6.8717
angles (deg): 90.00 90.00 90.00
Fractional coordinates of all 5 atoms:
1 Ba 0.0000 0.0000 0.0000
2 Ag 0.5000 0.5000 0.5000
3 Te 0.0000 0.0000 0.5000
4 I 0.0000 0.5000 0.0000
5 I 0.5000 0.0000 0.0000

Output
Symmetry: No. 123
Raw formation energy: -1.0 eV per formula unit

***

Record 9
This record from Alexandria via LeMat-Bulk describes a relaxed structure of GdHgF3. The functional is PBE-GGA.

a b c (Å): 4.5701 4.5701 4.5701
angles (deg): 90.00 90.00 90.00
Fractional coordinates of all 5 atoms:
1 Gd 0.0000 0.0000 0.0000
2 Hg 0.5000 0.5000 0.5000
3 F 0.0000 0.0000 0.5000
4 F 0.0000 0.5000 0.0000
5 F 0.5000 0.0000 0.0000

Output
Symmetry: No. 221
Raw formation energy: -15.5 eV per formula unit

***

Record 10
This record from Alexandria via LeMat-Bulk describes a relaxed structure of KNiPt2. The functional is PBE-GGA.

a b c (Å): 5.1560 5.1560 16.1399
angles (deg): 90.00 90.00 90.00
Fractional coordinates of all 16 atoms:
1 K 0.0000 0.2500 0.3750
2 K 0.0000 0.7500 0.6250
3 K 0.5000 0.2500 0.1250
4 K 0.5000 0.7500 0.8750
5 Ni 0.0000 0.2500 0.8750
6 Ni 0.0000 0.7500 0.1250
7 Ni 0.5000 0.2500 0.6250
8 Ni 0.5000 0.7500 0.3750
9 Pt 0.0000 0.0000 0.0000
10 Pt 0.0000 0.5000 0.0000
11 Pt 0.2500 0.2500 0.7500
12 Pt 0.2500 0.7500 0.2500
13 Pt 0.5000 0.0000 0.5000
14 Pt 0.5000 0.5000 0.5000
15 Pt 0.7500 0.2500 0.7500
16 Pt 0.7500 0.7500 0.2500

Output
Symmetry: No. 141
DFT formation energy: 0.328 eV per atom

***

Record 11
This record from Alexandria via LeMat-Bulk describes a relaxed structure of Ce2SnF. The functional is PBE-GGA.

a b c (Å): 3.3520 3.3520 7.9997
angles (deg): 90.00 90.00 90.00
Fractional coordinates of all 4 atoms:
1 Ce 0.0000 0.0000 0.2177
2 Ce 0.0000 0.0000 0.7823
3 Sn 0.5000 0.5000 0.5000
4 F 0.5000 0.5000 0.0000

Output
Symmetry: No. 123
Raw formation energy: -4.7 eV per formula unit

***

What are the VASP energy values for these records? In order: -4.933, -7.765, -4.528, -3.121, -8.868, -3.318, -6.622, -2.411, -7.102, -4.412, -5.618 eV/atom.